VASP calculation (PBE) on crystalline LaEr5Tl3 at its relaxed geometry.

Cell: 6.745 9.363 9.362 Å, 120.01 90.00 90.00°
Last column: magnetic moment on the atom in μB.
Sites, in units of the cell vectors:
La  0.000  0.000  0.000  0.23
La  0.500  0.000  0.000  0.23
Er  0.000  0.667  0.333  0.09
Er  0.500  0.333  0.667  0.09
Er  0.000  0.333  0.667  0.09
Er  0.500  0.667  0.333  0.09
Er  0.750  0.671  0.671  0.13
Er  0.750  0.000  0.329  0.13
Er  0.750  0.329  0.000  0.13
Er  0.250  0.329  0.329  0.13
Er  0.250  0.000  0.671  0.13
Er  0.250  0.671  0.000  0.13
Tl  0.750  0.342  0.342  0.00
Tl  0.750  0.000  0.658  0.00
Tl  0.750  0.658  0.000  0.00
Tl  0.250  0.658  0.658  0.00
Tl  0.250  0.000  0.342  0.00
Tl  0.250  0.342  0.000  0.00

Crystal system: hexagonal
DFT formation energy in meV/atom: -250.9
Density of states at the Fermi level in states/eV/atom: 1.06

VASP calculation (PBE) on crystalline La4Er5Tl at its relaxed geometry.

Cell: 5.829 8.230 8.230 Å, 82.80 69.26 69.26°
Sites, in units of the cell vectors:
La  0.461  0.309  0.691
La  0.771  0.691  0.691
La  0.152  0.309  0.309
La  0.461  0.691  0.309
Er  0.773  0.366  0.000
Er  0.139  0.000  0.634
Er  0.773  0.000  0.366
Er  0.139  0.634  0.000
Er  0.662  0.000  0.000
Tl  0.178  0.000  0.000

Crystal system: tetragonal
DFT formation energy in meV/atom: 71.9
Density of states at the Fermi level in states/eV/atom: 1.60

VASP calculation (PBE) on crystalline LaErTl2 at its relaxed geometry.

Cell: 3.826 3.826 7.925 Å, 90.00 90.00 90.00°
Sites, in units of the cell vectors:
Tl  0.000  0.000  0.771
Tl  0.000  0.000  0.229
La  0.500  0.500  0.500
Er  0.500  0.500  0.000

Crystal system: tetragonal
DFT formation energy in meV/atom: -380.1
Density of states at the Fermi level in states/eV/atom: 0.89

VASP calculation (PBE) on crystalline LaEr4Tl7 at its relaxed geometry.

Cell: 5.807 9.912 7.271 Å, 82.16 66.46 72.97°
Sites, in units of the cell vectors:
La  0.000  0.000  0.000
Er  0.585  0.217  0.612
Er  0.415  0.783  0.388
Er  0.719  0.671  0.891
Er  0.281  0.329  0.109
Tl  0.786  0.893  0.535
Tl  0.214  0.107  0.465
Tl  0.078  0.666  0.177
Tl  0.922  0.334  0.823
Tl  0.364  0.548  0.725
Tl  0.500  0.000  0.000
Tl  0.636  0.452  0.275

Crystal system: monoclinic
DFT formation energy in meV/atom: -93.8
Density of states at the Fermi level in states/eV/atom: 0.69

VASP calculation (PBE) on crystalline LaEr5Tl6 at its relaxed geometry.

Cell: 5.412 7.514 9.355 Å, 113.68 106.81 90.00°
Sites, in units of the cell vectors:
Tl  0.171  0.429  0.343
Tl  0.171  0.914  0.343
Tl  0.500  0.264  0.000
Tl  0.500  0.736  0.000
Tl  0.829  0.086  0.657
Tl  0.829  0.571  0.657
Er  0.338  0.838  0.675
Er  0.667  0.667  0.335
Er  0.000  0.500  0.000
Er  0.333  0.333  0.665
Er  0.662  0.162  0.325
La  0.000  0.000  0.000

Crystal system: orthorhombic
Energy above the most stable polymorph in this dataset in meV/atom: 0
DFT formation energy in meV/atom: -324.8
Density of states at the Fermi level in states/eV/atom: 0.82

VASP calculation (PBE) on crystalline La3Er2Tl6 at its relaxed geometry.

Cell: 4.940 4.940 14.826 Å, 99.59 99.59 90.00°
Sites, in units of the cell vectors:
La  0.000  0.000  0.000
La  0.803  0.803  0.607
La  0.197  0.197  0.393
Er  0.445  0.445  0.890
Er  0.555  0.555  0.110
Tl  0.114  0.614  0.229
Tl  0.614  0.114  0.229
Tl  0.886  0.386  0.771
Tl  0.386  0.886  0.771
Tl  0.691  0.691  0.381
Tl  0.309  0.309  0.619

Crystal system: tetragonal
DFT formation energy in meV/atom: -172.0
Density of states at the Fermi level in states/eV/atom: 0.89